# 1
The following is a DFT calculation (GGA-PBE) of a relaxed Ba2Si3HgAu12 crystal.

Output
The formation energy without anion corrections is -87 meV per atom. The value obtained for the density of states at the Fermi level is 8.97 states/eV/f.u. Its space group is R-3m, No. 166.

Unit cell a=8.475 b=8.475 c=8.475 alpha=63.35 beta=63.35 gamma=63.35
Atoms (fractional coordinates):
Ba (0.109, 0.109, 0.109)
Ba (0.891, 0.891, 0.891)
Si (0.000, 0.500, 0.500)
Si (0.500, 0.000, 0.500)
Si (0.500, 0.500, 0.000)
Hg (0.500, 0.500, 0.500)
Au (0.119, 0.621, 0.621)
Au (0.179, 0.179, 0.626)
Au (0.179, 0.626, 0.179)
Au (0.374, 0.821, 0.821)
Au (0.379, 0.379, 0.881)
Au (0.379, 0.881, 0.379)
Au (0.621, 0.119, 0.621)
Au (0.621, 0.621, 0.119)
Au (0.626, 0.179, 0.179)
Au (0.821, 0.374, 0.821)
Au (0.821, 0.821, 0.374)
Au (0.881, 0.379, 0.379)



# 2
The following is a DFT calculation (GGA-PBE) of a relaxed Ba2SiHgAu6 crystal.

Output
The formation energy without anion corrections is -481 meV per atom. The value obtained for the density of states at the Fermi level is 3.30 states/eV/f.u. Its space group is R-3m, No. 166.

Unit cell a=13.114 b=13.114 c=13.114 alpha=30.03 beta=30.03 gamma=30.03
Atoms (fractional coordinates):
Ba (0.110, 0.110, 0.110)
Ba (0.279, 0.279, 0.279)
Ba (0.721, 0.721, 0.721)
Ba (0.890, 0.890, 0.890)
Si (0.000, 0.000, 0.000)
Si (0.500, 0.500, 0.500)
Hg (0.424, 0.424, 0.424)
Hg (0.576, 0.576, 0.576)
Au (0.081, 0.669, 0.669)
Au (0.218, 0.218, 0.654)
Au (0.218, 0.654, 0.218)
Au (0.331, 0.331, 0.919)
Au (0.331, 0.919, 0.331)
Au (0.346, 0.782, 0.782)
Au (0.654, 0.218, 0.218)
Au (0.669, 0.081, 0.669)
Au (0.669, 0.669, 0.081)
Au (0.782, 0.346, 0.782)
Au (0.782, 0.782, 0.346)
Au (0.919, 0.331, 0.331)